# Li2CoOsO PBE with a Hubbard U optimized geometry
data_Li2CoOsO
_chemical_formula_sum 'Li2 Co1 Os1 O1'
_symmetry_space_group_name_H-M 'P 1'
_symmetry_Int_Tables_number 1
_cell_length_a 4.183
_cell_length_b 4.183
_cell_length_c 4.291
_cell_angle_alpha 90.00
_cell_angle_beta 90.00
_cell_angle_gamma 90.00
loop_
_symmetry_equiv_pos_as_xyz
'x,y,z'
loop_
_atom_site_label
_atom_site_fract_x
_atom_site_fract_y
_atom_site_fract_z
Li1 0.000 0.500 0.000
Li2 0.500 0.000 0.000
Co1 0.000 0.000 0.000
Os1 0.000 0.000 0.500
O1 0.500 0.500 0.500
# density	6.2	Mg/m³
# space-group type	P4/mmm (123)
# total magnetic moment	1.33	μB per formula unit
# total DFT energy (no corrections)	-3.71	eV per atom
# density of states at the Fermi level	3.73	states/eV/cell